No. 1
A geometry-optimized InSi2Cl structure. Source: Alexandria via LeMat-Bulk, functional PBE.

```
InSi2Cl
1.0
-0.988 -4.685 -0.548
3.331 -2.968 -1.822
2.133 -3.260 2.836
In Si Cl
1 2 1
Cartesian
3.356 -8.185 0.350
0.000 0.000 0.000
1.119 -2.728 0.117
2.238 -5.456 0.233
```

Properties
Its space group is No. 216. The value obtained for the energy is -0.1282 hartree per atom. The distance to the lowest polymorph of the same formula comes out at 10.11 kcal/mol of atoms. The formation energy from raw total energies comes out at 0.37 eV/atom.


No. 2
A geometry-optimized In2SiCl structure. Source: Alexandria via LeMat-Bulk, functional PBE.

```
In2SiCl
1.0
-2.718 -1.261 1.870
-1.220 -1.770 -2.966
1.848 -9.733 -3.879
In Cl Si
2 1 1
Cartesian
0.420 -5.051 -2.797
-0.106 -0.701 -0.626
-0.887 -9.258 -4.199
-1.202 -3.506 -0.777
```

Properties
Its space group is No. 10. The value obtained for the energy is -0.1179 hartree per atom. The distance to the lowest polymorph of the same formula comes out at 2.76 kcal/mol of atoms. The formation energy from raw total energies comes out at -0.02 eV/atom.


No. 3
A geometry-optimized InSi2Cl structure. Source: Alexandria via LeMat-Bulk, functional PBE.

```
InSi2Cl
1.0
2.791 -3.724 1.285
2.384 0.105 4.197
-1.354 -2.895 3.619
Si In Cl
2 1 1
Cartesian
2.866 -4.886 6.826
0.955 -1.629 2.275
1.910 -3.257 4.551
0.000 0.000 0.000
```

Properties
Its space group is No. 225. The value obtained for the energy is -0.1227 hartree per atom. The distance to the lowest polymorph of the same formula comes out at 13.58 kcal/mol of atoms. The formation energy from raw total energies comes out at 0.52 eV/atom.


No. 4
A geometry-optimized InSiCl2 structure. Source: Alexandria via LeMat-Bulk, functional PBE.

```
InSiCl2
1.0
5.392 0.051 0.000
-1.139 5.270 0.000
0.000 0.000 3.287
Cl In Si
2 1 1
Cartesian
2.126 2.661 0.000
0.000 0.000 0.000
2.696 0.025 1.644
-0.570 2.635 1.644
```

Properties
Its space group is No. 65. The value obtained for the energy is -0.1086 hartree per atom. The distance to the lowest polymorph of the same formula comes out at 10.25 kcal/mol of atoms. The formation energy from raw total energies comes out at 0.01 eV/atom.


No. 5
A geometry-optimized InSi2Cl structure. Source: Alexandria via LeMat-Bulk, functional PBE.

```
InSi2Cl
1.0
-3.153 0.385 0.011
-0.062 -0.594 3.120
0.968 7.873 1.518
Si In Cl
2 1 1
Cartesian
0.485 3.948 0.761
0.966 7.863 1.516
-0.882 5.801 2.704
-1.366 1.864 1.945
```

Properties
Its space group is No. 123. The value obtained for the energy is -0.1241 hartree per atom. The distance to the lowest polymorph of the same formula comes out at 12.70 kcal/mol of atoms. The formation energy from raw total energies comes out at 0.48 eV/atom.


No. 6
A geometry-optimized In2SiCl structure. Source: Alexandria via LeMat-Bulk, functional PBE.

```
In2SiCl
1.0
-3.509 4.020 0.871
-3.038 -3.310 3.007
1.652 0.873 2.630
Si In Cl
1 2 1
Cartesian
-0.928 2.446 1.750
-3.273 0.355 1.939
0.000 0.000 0.000
-0.693 -1.219 2.819
```

Properties
Its space group is No. 65. The value obtained for the energy is -0.1181 hartree per atom. The distance to the lowest polymorph of the same formula comes out at 2.61 kcal/mol of atoms. The formation energy from raw total energies comes out at -0.03 eV/atom.


No. 7
A geometry-optimized InSiCl2 structure. Source: Alexandria via LeMat-Bulk, functional PBE.

```
InSiCl2
1.0
3.833 0.000 0.000
0.000 3.847 0.000
0.000 0.000 8.137
In Cl Si
1 2 1
Cartesian
0.000 0.000 5.447
0.000 0.000 7.811
1.917 1.924 2.513
1.917 1.924 4.570
```

Properties
Its space group is No. 25. The value obtained for the energy is -0.1250 hartree per atom. The distance to the lowest polymorph of the same formula comes out at 0.00 kcal/mol of atoms. The formation energy from raw total energies comes out at -0.44 eV/atom.


No. 8
A geometry-optimized In2SiCl structure. Source: Alexandria via LeMat-Bulk, functional PBE.

```
In2SiCl
1.0
4.249 0.016 -0.728
2.049 3.722 -0.728
-0.772 -0.458 8.010
In Si Cl
2 1 1
Cartesian
3.690 2.191 2.372
5.370 3.188 -0.550
1.381 0.820 1.639
4.144 2.460 4.916
```

Properties
Its space group is No. 12. The value obtained for the energy is -0.1223 hartree per atom. The distance to the lowest polymorph of the same formula comes out at 0.00 kcal/mol of atoms. The formation energy from raw total energies comes out at -0.14 eV/atom.